Material: TaTl2Cd
Method: DFT, PBEsol
State: optimized geometry

Cell: 5.364 5.364 5.487 Å, 101.84 101.84 33.80°
Atoms (fractional coordinates):
1 Ta 0.000 0.000 0.000
2 Tl 0.255 0.255 0.762
3 Tl 0.745 0.745 0.238
4 Cd 0.500 0.500 0.500

Properties
Calculated formation energy = 0.51 eV per atom
DOS(E_F) = 2.668 states/eV/cell